Computed, not measured: a geometry-optimized NaNpPb2O6 structure at the GGA-PBE level of DFT.

Cell: 5.9310 6.3006 10.4557 Å, 90.00 123.89 90.00°
With the nearest neighbours (Å) after each atom.
Space group P2_1/c (No. 14)
Inequivalent atoms, fractional coordinates:
Na  0.0000  0.0000  0.0000  6 O 2.45-2.60
Np  0.5000  0.0000  0.5000  6 O 1.95-2.12
Pb  0.2416  0.0541  0.7283  4 O 2.39-2.57
O  0.1762  0.1591  0.4770  1 Np 2.06
O  0.2827  0.7406  0.4368  1 Np 1.95
O  0.3716  0.0606  0.2697  1 Np 2.12

Properties
Its total magnetization is 0.0 μB/f.u. For the raw total energy, the calculation gives -141.17 eV for the cell shown. The uncorrected formation energy is -1916 meV/atom. The value obtained for the density is 7888 kg/m³.

Computed, not measured: a geometry-optimized PmB2PdO6 structure at the GGA-PBE level of DFT.

Cell: 9.5288 9.8231 4.7743 Å, 90.00 103.69 90.00°
With the nearest neighbours (Å) after each atom.
Space group C2/c (No. 15)
Inequivalent atoms, fractional coordinates:
Pm  0.0000  0.1285  0.2500  4 O 2.27-2.37
B  0.2172  0.4261  0.1400  4 O 1.44-1.55
Pd  0.0000  0.3096  0.7500  4 O 2.01-2.22
O  0.1246  0.3121  0.1537  1 B 1.44
O  0.1303  0.0992  0.7335  1 B 1.46
O  0.1870  0.4510  0.8102  2 B 1.52-1.55

Properties
Its total magnetization is 0.0 μB/f.u. For the raw total energy, the calculation gives -292.22 eV for the cell shown. Its density of states at the Fermi level is 10.57 states/eV per cell. The uncorrected formation energy is -2001 meV/atom. The value obtained for the density is 5645 kg/m³.

Computed, not measured: a geometry-optimized AcHg2Au9 structure at the GGA-PBE level of DFT.

Cell: 5.7669 5.7669 26.9798 Å, 90.00 90.00 120.00°
With the nearest neighbours (Å) after each atom.
Space group R-3m (No. 166, hexagonal axes)
Inequivalent atoms, fractional coordinates:
Ac  0.0000  0.0000  0.0000  18 Au 3.33-3.69
Hg  0.0000  0.0000  0.1406  12 Au 3.25-3.40, 3 Hg 3.61
Au  0.0000  0.0000  0.3336  6 Au 2.83-2.85
Au  0.0000  0.0000  0.5000  6 Au 2.78
Au  0.0057  0.5029  0.9148  7 Au 2.78-2.93

Properties
Its total magnetization is 0.0 μB/f.u. For the energy of formation, the calculation gives -0.229 eV/atom. For the raw total energy, the calculation gives -110.85 eV for the cell shown. Its density of states at the Fermi level is 20.97 states/eV per cell. The value obtained for the density is 15392 kg/m³.